The following is a DFT calculation (PBE) of a relaxed structure of CsAsSe2S.

a b c (Å): 5.627 5.627 6.869
angles (deg): 90.00 90.00 90.00
Site moments in Bohr magnetons follow the coordinates.
Fractional coordinates of all 5 atoms:
Cs (0.000, 0.000, 0.000)  0.02
As (0.000, 0.000, 0.500)  0.21
S (0.500, 0.500, 0.500)  0.76
Se (0.000, 0.500, 0.000)  0.11
Se (0.500, 0.000, 0.000)  0.11

Properties
Formation energy from raw total energies = 1705.2 meV/atom
Energy above the lowest structure with this stoichiometry = 1.571 eV/atom
Space group = P4/mmm, No. 123

The following is a DFT calculation (PBE) of a relaxed structure of CsAsSe2S.

a b c (Å): 5.254 5.254 5.068
angles (deg): 90.00 90.00 90.00
Site moments in Bohr magnetons follow the coordinates.
Fractional coordinates of all 5 atoms:
Cs (0.500, 0.500, 0.500)  0.03
As (0.000, 0.000, 0.500)  0.51
S (0.000, 0.000, 0.000)  0.01
Se (0.000, 0.500, 0.000)  0.07
Se (0.500, 0.000, 0.000)  0.07

Properties
Formation energy from raw total energies = 134.1 meV/atom
Energy above the lowest structure with this stoichiometry = 0.000 eV/atom
Space group = P4/mmm, No. 123

The following is a DFT calculation (PBE) of a relaxed structure of Cs2SmAs2S6.

a b c (Å): 7.264 7.256 8.701
angles (deg): 114.74 90.00 120.03
Fractional coordinates of all 11 atoms:
Cs (0.710, 0.420, 0.191)
Cs (0.290, 0.580, 0.809)
Sm (0.500, 0.000, 0.500)
As (0.948, 0.895, 0.808)
As (0.052, 0.105, 0.192)
S (0.747, 0.494, 0.621)
S (0.214, 0.927, 0.229)
S (0.286, 0.073, 0.771)
S (0.786, 0.073, 0.771)
S (0.714, 0.927, 0.229)
S (0.253, 0.506, 0.379)

Properties
Formation energy from raw total energies = -840.0 meV/atom
Space group = C2/m, No. 12

The following is a DFT calculation (PBE) of a relaxed structure of Cs2SmAsS4.

a b c (Å): 6.785 8.155 13.283
angles (deg): 83.90 75.20 65.42
Fractional coordinates of all 16 atoms:
Cs (0.181, 0.000, 0.637)
Cs (0.819, 0.000, 0.363)
Cs (0.569, 0.500, 0.863)
Cs (0.931, 0.500, 0.137)
Sm (0.750, 0.500, 0.500)
Sm (0.000, 0.000, 0.000)
As (0.250, 0.500, 0.500)
As (0.500, 0.000, 0.000)
S (0.312, 0.808, 0.100)
S (0.220, 0.192, 0.900)
S (0.880, 0.808, 0.900)
S (0.588, 0.192, 0.100)
S (0.438, 0.692, 0.400)
S (0.530, 0.308, 0.600)
S (0.870, 0.692, 0.600)
S (0.162, 0.308, 0.400)

Properties
Formation energy from raw total energies = -1021.4 meV/atom
Space group = Fddd, No. 70

The following is a DFT calculation (PBE) of a relaxed structure of Cs2SnAs2S6.

a b c (Å): 7.338 7.336 8.493
angles (deg): 115.50 90.00 120.01
Fractional coordinates of all 11 atoms:
Cs (0.730, 0.460, 0.191)
Cs (0.270, 0.540, 0.809)
Sn (0.500, 0.000, 0.500)
As (0.939, 0.878, 0.816)
As (0.061, 0.122, 0.184)
S (0.749, 0.498, 0.755)
S (0.250, 0.991, 0.243)
S (0.259, 0.009, 0.757)
S (0.750, 0.009, 0.757)
S (0.741, 0.991, 0.243)
S (0.251, 0.502, 0.245)

Properties
Formation energy from raw total energies = -511.4 meV/atom
Space group = C2/m, No. 12

The following is a DFT calculation (PBE) of a relaxed structure of CsSn2As2S6.

a b c (Å): 7.571 8.339 8.409
angles (deg): 123.10 89.99 62.99
Fractional coordinates of all 11 atoms:
Cs (0.500, 0.000, 0.500)
Sn (0.817, 0.367, 0.904)
Sn (0.183, 0.633, 0.096)
As (0.096, 0.808, 0.824)
As (0.904, 0.192, 0.176)
S (0.414, 0.630, 0.852)
S (0.044, 0.370, 0.147)
S (0.037, 0.926, 0.617)
S (0.956, 0.630, 0.853)
S (0.963, 0.074, 0.383)
S (0.586, 0.370, 0.148)

Properties
Formation energy from raw total energies = -304.9 meV/atom
Space group = C2/m, No. 12